Entry 1:
A relaxed structure of K2TaRu. Source: the Alexandria database, functional PBE.

Output
The energy relative to the elements comes out at 1.30 eV/atom. The calculation puts the density of states at the Fermi level at 3.895 states/eV/f.u.

Lattice parameters (Å, degrees): 2.773 5.452 6.043 90.00 90.00 90.00
Space group Pmmm (No. 47)
Asymmetric unit:
1 K 0.000 0.246 0.000 [2 per cell]
2 Ta 0.500 0.500 0.500 [1 per cell]
3 Ru 0.500 0.000 0.500 [1 per cell]

=====

Entry 2:
A relaxed structure of K2TaRu. Source: the Alexandria database, functional PBE.

Output
The energy relative to the elements comes out at 1.52 eV/atom. The calculation puts the density of states at the Fermi level at 3.775 states/eV/f.u.

Lattice parameters (Å, degrees): 7.114 7.114 7.114 90.00 90.00 90.00
Space group F-43m (No. 216)
Asymmetric unit:
1 K 0.000 0.000 0.000 [4 per cell]
2 K 0.250 0.250 0.250 [4 per cell]
3 Ta 0.000 0.000 0.500 [4 per cell]
4 Ru 0.250 0.250 0.750 [4 per cell]

=====

Entry 3:
A relaxed structure of K3TaRu. Source: the Alexandria database, functional PBE.

Output
The energy relative to the elements comes out at 2.34 eV/atom. The calculation puts the density of states at the Fermi level at 18.861 states/eV/f.u.

Lattice parameters (Å, degrees): 5.901 5.901 5.901 90.00 90.00 90.00
Space group Pm-3m (No. 221)
Asymmetric unit:
1 K 0.000 0.000 0.500 [3 per cell]
2 Ta 0.500 0.500 0.500 [1 per cell]
3 Ru 0.000 0.000 0.000 [1 per cell]

=====

Entry 4:
A relaxed structure of K2TaRu. Source: the Alexandria database, functional PBE.

Output
The energy relative to the elements comes out at 1.19 eV/atom. The calculation puts the density of states at the Fermi level at 3.738 states/eV/f.u.

Lattice parameters (Å, degrees): 5.490 12.394 3.124 90.00 122.52 90.00
Space group C2/m (No. 12)
Asymmetric unit:
1 K 0.250 0.250 0.000 [4 per cell]
2 Ta 0.000 0.000 0.500 [2 per cell]
3 Ru 0.000 0.500 0.500 [2 per cell]

=====

Entry 5:
A relaxed structure of K2TaRu. Source: the Alexandria database, functional PBE.

Output
The energy relative to the elements comes out at 1.15 eV/atom. The calculation puts the density of states at the Fermi level at 3.693 states/eV/f.u.

Lattice parameters (Å, degrees): 3.845 3.845 12.178 90.00 90.00 90.00
Space group I4/mmm (No. 139)
Asymmetric unit:
1 K 0.000 0.500 0.250 [4 per cell]
2 Ta 0.000 0.000 0.000 [2 per cell]
3 Ru 0.000 0.000 0.500 [2 per cell]

=====

Entry 6:
A relaxed structure of K2TaRu. Source: the Alexandria database, functional PBE.

Output
The energy relative to the elements comes out at 1.31 eV/atom. The calculation puts the density of states at the Fermi level at 4.827 states/eV/f.u.

Lattice parameters (Å, degrees): 12.635 12.635 4.611 90.00 90.00 90.00
Space group I-42d (No. 122)
Asymmetric unit:
1 K 0.086 0.250 0.125 [8 per cell]
2 Ta 0.000 0.000 0.500 [4 per cell]
3 Ru 0.000 0.000 0.000 [4 per cell]

=====

Entry 7:
A relaxed structure of K2TaRu. Source: the Alexandria database, functional PBE.

Output
The energy relative to the elements comes out at 1.29 eV/atom. The calculation puts the density of states at the Fermi level at 4.010 states/eV/f.u.

Lattice parameters (Å, degrees): 2.995 4.925 12.314 90.00 90.00 90.00
Space group Cmmm (No. 65)
Asymmetric unit:
1 K 0.000 0.000 0.228 [4 per cell]
2 Ta 0.000 0.500 0.500 [2 per cell]
3 Ru 0.000 0.500 0.000 [2 per cell]

=====

Entry 8:
A relaxed structure of K2TaRu. Source: the Alexandria database, functional PBE.

Output
The energy relative to the elements comes out at 1.15 eV/atom. The calculation puts the density of states at the Fermi level at 3.607 states/eV/f.u.

Lattice parameters (Å, degrees): 3.843 3.843 6.107 90.00 90.00 90.00
Space group P4/mmm (No. 123)
Asymmetric unit:
1 K 0.000 0.500 0.000 [2 per cell]
2 Ta 0.000 0.000 0.500 [1 per cell]
3 Ru 0.500 0.500 0.500 [1 per cell]